VASP calculation (GGA-PBE) on a relaxed structure of Rb2Ga2I5.

abc: 16.6423 6.2466 8.6934
angles: 90.00 112.89 90.00
Space group C2/m (No. 12)
Asymmetric unit:
Rb (0.1070, 0.0000, 0.3010) [4 per cell]
Ga (0.1510, 0.5000, 0.8863) [4 per cell]
I (0.0000, 0.5000, 0.0000) [2 per cell]
I (0.1500, 0.5000, 0.5534) [4 per cell]
I (0.1536, 0.0000, 0.9001) [4 per cell]

DOS at the Fermi energy, states/eV per cell: 5.6
ΔE_f (raw), kcal/mol of atoms: -19.14
Total magnetization, μB per formula unit: 0.00